1.
An optimized crystal structure of TmCu2Pt. Source: Alexandria via LeMat-Bulk, functional PBE.

Calculated values
Energy in Ry/atom: -0.380
Fermi-level density of states in states/eV/atom: 0.44
E above lowest polymorph in meV per atom: 0

a b c (Å): 4.5027 4.5027 4.5027
angles (deg): 60.00 60.00 60.00
Fractional positions:
1 Tm 0.0000 0.0000 0.0000
2 Cu 0.2500 0.2500 0.2500
3 Cu 0.7500 0.7500 0.7500
4 Pt 0.5000 0.5000 0.5000

=====

2.
An optimized crystal structure of Tm5Cu4Pt. Source: Alexandria via LeMat-Bulk, functional PBE.

Calculated values
Energy in Ry/atom: -0.366
Fermi-level density of states in states/eV/atom: 0.32

a b c (Å): 3.4060 3.4060 17.3542
angles (deg): 90.00 90.00 90.00
Fractional positions:
1 Tm 0.5000 0.5000 0.0997
2 Tm 0.5000 0.5000 0.3000
3 Tm 0.5000 0.5000 0.5000
4 Tm 0.5000 0.5000 0.7000
5 Tm 0.5000 0.5000 0.9003
6 Cu 0.0000 0.0000 0.2019
7 Cu 0.0000 0.0000 0.4005
8 Cu 0.0000 0.0000 0.5995
9 Cu 0.0000 0.0000 0.7981
10 Pt 0.0000 0.0000 0.0000

=====

3.
An optimized crystal structure of Tm4CuPt3. Source: Alexandria via LeMat-Bulk, functional PBE.

Calculated values
Energy in Ry/atom: -0.448
Fermi-level density of states in states/eV/atom: 0.75

a b c (Å): 3.7064 4.4297 10.4185
angles (deg): 90.00 90.00 90.00
Fractional positions:
1 Tm 0.5000 0.5000 0.3640
2 Tm 0.0000 0.5000 0.8591
3 Tm 0.0000 0.0000 0.1378
4 Tm 0.5000 0.0000 0.6400
5 Pt 0.0000 0.5000 0.5893
6 Pt 0.0000 0.0000 0.4083
7 Pt 0.5000 0.0000 0.9234
8 Cu 0.5000 0.5000 0.0782

=====

4.
An optimized crystal structure of TmCuPt. Source: Alexandria via LeMat-Bulk, functional PBE.

Calculated values
Energy in Ry/atom: -0.412
Fermi-level density of states in states/eV/atom: 0.46
E above lowest polymorph in meV per atom: 135

a b c (Å): 4.9284 7.1336 7.1327
angles (deg): 90.16 69.79 69.81
Fractional positions:
1 Tm 0.2397 0.6355 0.8854
2 Tm 0.7603 0.8645 0.6146
3 Tm 0.7603 0.3645 0.1146
4 Tm 0.2397 0.1355 0.3854
5 Cu 0.5638 0.3115 0.5622
6 Cu 0.5638 0.8115 0.0622
7 Cu 0.4362 0.6885 0.4378
8 Cu 0.4362 0.1885 0.9378
9 Pt 0.9035 0.4713 0.7214
10 Pt 0.9035 0.9713 0.2214
11 Pt 0.0965 0.5287 0.2786
12 Pt 0.0965 0.0287 0.7786